(1)
Density functional theory data (PBE) for a relaxed structure of ReAu3.

Calculated values
Crystal system: hexagonal
ΔH_f (0 K): 0.313 eV per atom

```
data_ReAu3
_chemical_formula_sum 'Re1 Au3'
_symmetry_space_group_name_H-M 'P -6 m 2'
_symmetry_Int_Tables_number 187
_symmetry_space_group_name_Hall 'P -6 2'
_cell_length_a 2.8513
_cell_length_b 2.8513
_cell_length_c 9.7026
_cell_angle_alpha 90.00
_cell_angle_beta 90.00
_cell_angle_gamma 120.00
loop_
_atom_site_label
_atom_site_fract_x
_atom_site_fract_y
_atom_site_fract_z
_atom_site_occupancy
Re1 0.0000 0.0000 0.0000 1
Au1 0.0000 0.0000 0.5000 1
Au2 0.6667 0.3333 0.2390 1
```

(2)
Density functional theory data (PBE) for a relaxed structure of HfMoAsH2.

Calculated values
Crystal system: tetragonal

```
data_HfMoAsH2
_chemical_formula_sum 'Hf1 Mo1 As1 H2'
_symmetry_space_group_name_H-M 'P 4/m m m'
_symmetry_Int_Tables_number 123
_symmetry_space_group_name_Hall '-P 4 2'
_cell_length_a 3.730
_cell_length_b 3.730
_cell_length_c 5.589
_cell_angle_alpha 90.00
_cell_angle_beta 90.00
_cell_angle_gamma 90.00
loop_
_atom_site_label
_atom_site_fract_x
_atom_site_fract_y
_atom_site_fract_z
_atom_site_occupancy
Hf1 0.000 0.000 0.000 1
Mo1 0.500 0.500 0.000 1
As1 0.000 0.000 0.500 1
H1 0.000 0.500 0.500 1
```

| no. | raw total energy (eV/atom) | M_tot (Bohr magnetons per cell) |
| --- | --- | --- |
| 1 | -5.26 | 0.00 |
| 2 | -5.49 | 1.10 |